First-principles (PBE-GGA) data for an optimized crystal structure of Tb3ErMg7, as listed in Alexandria via LeMat-Bulk.

For the offset from the most stable computed form, the calculation gives 0 meV/atom. For the calculated formation energy, the calculation gives 0.08 eV/atom.

It has space group Cmcm (No. 63), with a = 3.2973 Å, b = 22.5455 Å, c = 16.3072 Å, α = 90.00°, β = 90.00° and γ = 90.00°. The distinct sites, in fractional coordinates, are Tb at (0.0000, 0.1176, 0.0342), Tb at (0.0000, 0.2396, 0.7500), Er at (0.0000, 0.0155, 0.7500), Mg at (0.0000, 0.2624, 0.0745), Mg at (0.0000, 0.3749, 0.1577), Mg at (0.0000, 0.3870, 0.7500) and Mg at (0.0000, 0.4930, 0.0845).

First-principles (PBE-GGA) data for an optimized crystal structure of Cs2Ce2CdSe6, as listed in Alexandria via LeMat-Bulk.

The formation energy without anion corrections is -130.9 kJ/mol of atoms.

It has space group C2/m (No. 12), with a = 7.2589 Å, b = 12.7693 Å, c = 8.8872 Å, α = 90.00°, β = 105.18° and γ = 90.00°. The distinct sites, in fractional coordinates, are Cs at (0.0000, 0.1621, 0.0000), Ce at (0.0000, 0.3337, 0.5000), Cd at (0.0000, 0.0000, 0.5000), Se at (0.2255, 0.5000, 0.6796) and Se at (0.2303, 0.1724, 0.6836).

First-principles (PBE-GGA) data for an optimized crystal structure of Sm2ErMg, as listed in Alexandria via LeMat-Bulk.

For the offset from the most stable computed form, the calculation gives 0 meV/atom. For the calculated formation energy, the calculation gives -0.03 eV/atom.

It has space group P4/mmm (No. 123), with a = 3.6765 Å, b = 3.6765 Å, c = 9.0083 Å, α = 90.00°, β = 90.00° and γ = 90.00°. The distinct sites, in fractional coordinates, are Sm at (0.0000, 0.0000, 0.2318), Er at (0.5000, 0.5000, 0.5000) and Mg at (0.5000, 0.5000, 0.0000).

First-principles (PBE-GGA) data for an optimized crystal structure of TbPr4Sc, as listed in Alexandria via LeMat-Bulk.

For the offset from the most stable computed form, the calculation gives 0 meV/atom. For the calculated formation energy, the calculation gives 0.04 eV/atom.

It has space group C2/m (No. 12), with a = 6.2615 Å, b = 10.8030 Å, c = 6.2533 Å, α = 90.00°, β = 109.05° and γ = 90.00°. The distinct sites, in fractional coordinates, are Tb at (0.0000, 0.0000, 0.0000), Pr at (0.0000, 0.1664, 0.5000), Pr at (0.0000, 0.3376, 0.0000) and Sc at (0.0000, 0.5000, 0.5000).

First-principles (PBE-GGA) data for an optimized crystal structure of SrFeCoCl2, as listed in Alexandria via LeMat-Bulk.

The formation energy without anion corrections is 46.1 kJ/mol of atoms.

It has space group P4/mmm (No. 123), with a = 5.3987 Å, b = 5.3987 Å, c = 6.9574 Å, α = 90.00°, β = 90.00° and γ = 90.00°. The distinct sites, in fractional coordinates, are Sr at (0.0000, 0.0000, 0.0000), Fe at (0.0000, 0.0000, 0.5000), Co at (0.5000, 0.5000, 0.5000) and Cl at (0.0000, 0.5000, 0.0000).

First-principles (PBE-GGA) data for an optimized crystal structure of LiPuIn2, as listed in Alexandria via LeMat-Bulk.

For the calculated formation energy, the calculation gives -0.09 eV/atom.

It has space group R3m (No. 160, hexagonal axes), with a = 3.2672 Å, b = 3.2672 Å, c = 31.0941 Å, α = 90.00°, β = 90.00° and γ = 120.00°. The distinct sites, in fractional coordinates, are Li at (0.0000, 0.0000, 0.0000), Pu at (0.0000, 0.0000, 0.1663), In at (0.0000, 0.0000, 0.4093) and In at (0.0000, 0.0000, 0.5902).

First-principles (PBE-GGA) data for an optimized crystal structure of Hf2GaRh2, as listed in Alexandria via LeMat-Bulk.

For the calculated formation energy, the calculation gives -0.73 eV/atom.

It has space group P4/mbm (No. 127), with a = 7.3993 Å, b = 7.3993 Å, c = 3.2546 Å, α = 90.00°, β = 90.00° and γ = 90.00°. The distinct sites, in fractional coordinates, are Hf at (0.1679, 0.3321, 0.0000), Ga at (0.0000, 0.0000, 0.5000) and Rh at (0.1335, 0.6335, 0.5000).

First-principles (PBE-GGA) data for an optimized crystal structure of ScMo2Ir, as listed in Alexandria via LeMat-Bulk.

For the offset from the most stable computed form, the calculation gives 108 meV/atom. For the calculated formation energy, the calculation gives -0.15 eV/atom.

It has space group Pm (No. 6), with a = 2.8259 Å, b = 4.3825 Å, c = 5.3516 Å, α = 90.00°, β = 100.16° and γ = 90.00°. The distinct sites, in fractional coordinates, are Sc at (0.0000, 0.0000, 0.0000), Mo at (0.2662, 0.5000, 0.7308), Mo at (0.4544, 0.0000, 0.5024) and Ir at (0.7247, 0.5000, 0.2381).